1.
ZnGa after structural relaxation, computed with GGA-PBE.

The structure belongs to space group Pm (No. 6); the cell edges are 4.933, 4.759 and 7.541 Å and the angles 90.00°, 108.94° and 90.00°. The inequivalent atoms are Zn at (0.000, 0.000, 0.000), Zn at (0.076, 0.500, 0.806), Zn at (0.483, 0.500, 0.612), Zn at (0.677, 0.500, 0.000), Zn at (0.806, 0.000, 0.612), Ga at (0.218, 0.000, 0.407), Ga at (0.268, 0.500, 0.198), Ga at (0.400, 0.000, 0.806), Ga at (0.616, 0.000, 0.204) and Ga at (0.875, 0.500, 0.414).

The calculation puts the calculated total energy at -20.81 eV per cell.


2.
Zn2Ga after structural relaxation, computed with GGA-PBE.

The structure belongs to space group Fd-3m (No. 227, origin choice 2); the cell edges are 11.141, 11.141 and 11.141 Å and the angles 90.00°, 90.00° and 90.00°. The inequivalent atoms are Zn at (0.000, 0.000, 0.000) and Ga at (0.125, 0.125, 0.125).

The calculation puts the calculated total energy at -30.00 eV per cell.


3.
ZrZnGa2 after structural relaxation, computed with GGA-PBE.

The structure belongs to space group F-43m (No. 216); the cell edges are 6.573, 6.573 and 6.573 Å and the angles 90.00°, 90.00° and 90.00°. The inequivalent atoms are Zr at (0.000, 0.000, 0.000), Zn at (0.250, 0.250, 0.250), Ga at (0.000, 0.000, 0.500) and Ga at (0.250, 0.250, 0.750).

The calculation puts the calculated total energy at -63.44 eV per cell.